# 1
Here is FeAu5 after structural relaxation from Alexandria. Energies are from PBE. Values from VASP.

Geometry as Quantum ESPRESSO input:
```
&SYSTEM
  ibrav = 0, nat = 6, ntyp = 2
/
ATOMIC_SPECIES
Fe 55.84 Fe.upf
Au 196.97 Au.upf
CELL_PARAMETERS angstrom
4.801 0.000 0.000
0.000 1.432 7.559
0.000 -1.432 7.559
ATOMIC_POSITIONS crystal
Fe 0.000 0.000 0.000
Au 0.000 0.341 0.341
Au 0.000 0.660 0.660
Au 0.500 0.226 0.226
Au 0.500 0.556 0.556
Au 0.500 0.894 0.894
```

- DFT total energy (eV per atom) = -4.0413
- D(E_F) (states/eV per atom) = 0.654

=====

# 2
Here is Fe7Au after structural relaxation from Alexandria. Energies are from PBE. Values from VASP.

Geometry as Quantum ESPRESSO input:
```
&SYSTEM
  ibrav = 0, nat = 8, ntyp = 2
/
ATOMIC_SPECIES
Fe 55.84 Fe.upf
Au 196.97 Au.upf
CELL_PARAMETERS angstrom
0.000 3.722 3.722
3.722 0.000 3.722
3.722 3.722 0.000
ATOMIC_POSITIONS crystal
Fe 0.000 0.000 0.000
Fe 0.000 0.000 0.500
Fe 0.000 0.500 0.000
Fe 0.000 0.500 0.500
Fe 0.500 0.000 0.000
Fe 0.500 0.000 0.500
Fe 0.500 0.500 0.000
Au 0.500 0.500 0.500
```

- DFT total energy (eV per atom) = -7.6469
- D(E_F) (states/eV per atom) = 1.073

=====

# 3
Here is FeAu5 after structural relaxation from Alexandria. Energies are from PBE. Values from VASP.

Geometry as Quantum ESPRESSO input:
```
&SYSTEM
  ibrav = 0, nat = 6, ntyp = 2
/
ATOMIC_SPECIES
Fe 55.84 Fe.upf
Au 196.97 Au.upf
CELL_PARAMETERS angstrom
5.392 0.000 0.000
-2.696 4.670 0.000
0.000 0.000 4.805
ATOMIC_POSITIONS crystal
Fe 0.000 0.000 0.000
Au 0.000 0.500 0.500
Au 0.333 0.667 0.000
Au 0.500 0.000 0.500
Au 0.500 0.500 0.500
Au 0.667 0.333 0.000
```

- DFT total energy (eV per atom) = -3.7428
- D(E_F) (states/eV per atom) = 0.904

=====

# 4
Here is Fe6Au after structural relaxation from Alexandria. Energies are from PBE. Values from VASP.

Geometry as Quantum ESPRESSO input:
```
&SYSTEM
  ibrav = 0, nat = 7, ntyp = 2
/
ATOMIC_SPECIES
Fe 55.84 Fe.upf
Au 196.97 Au.upf
CELL_PARAMETERS angstrom
-2.966 2.966 2.966
2.966 -2.966 2.966
2.966 2.966 -2.966
ATOMIC_POSITIONS crystal
Fe 0.250 0.500 0.750
Fe 0.250 0.750 0.500
Fe 0.500 0.250 0.750
Fe 0.500 0.750 0.250
Fe 0.750 0.250 0.500
Fe 0.750 0.500 0.250
Au 0.000 0.000 0.000
```

- DFT total energy (eV per atom) = -6.5688
- D(E_F) (states/eV per atom) = 1.464

=====

# 5
Here is FeAu5 after structural relaxation from Alexandria. Energies are from PBE. Values from VASP.

Geometry as Quantum ESPRESSO input:
```
&SYSTEM
  ibrav = 0, nat = 6, ntyp = 2
/
ATOMIC_SPECIES
Fe 55.84 Fe.upf
Au 196.97 Au.upf
CELL_PARAMETERS angstrom
0.000 3.852 3.852
3.852 0.000 3.852
3.852 3.852 0.000
ATOMIC_POSITIONS crystal
Fe 0.000 0.000 0.000
Au 0.125 0.625 0.625
Au 0.250 0.250 0.250
Au 0.625 0.125 0.625
Au 0.625 0.625 0.125
Au 0.625 0.625 0.625
```

- DFT total energy (eV per atom) = -3.7835
- D(E_F) (states/eV per atom) = 0.802

=====

# 6
Here is Fe4Au3 after structural relaxation from Alexandria. Energies are from PBE. Values from VASP.

Geometry as Quantum ESPRESSO input:
```
&SYSTEM
  ibrav = 0, nat = 7, ntyp = 2
/
ATOMIC_SPECIES
Fe 55.84 Fe.upf
Au 196.97 Au.upf
CELL_PARAMETERS angstrom
-1.526 1.526 11.032
1.526 -1.526 11.032
1.526 1.526 -11.032
ATOMIC_POSITIONS crystal
Fe 0.076 0.076 0.000
Fe 0.370 0.370 0.000
Fe 0.630 0.630 0.000
Fe 0.924 0.924 0.000
Au 0.205 0.205 0.000
Au 0.500 0.500 0.000
Au 0.795 0.795 0.000
```

- DFT total energy (eV per atom) = -6.1227
- D(E_F) (states/eV per atom) = 0.847

=====

# 7
Here is Fe5Au4 after structural relaxation from Alexandria. Energies are from PBE. Values from VASP.

Geometry as Quantum ESPRESSO input:
```
&SYSTEM
  ibrav = 0, nat = 9, ntyp = 2
/
ATOMIC_SPECIES
Fe 55.84 Fe.upf
Au 196.97 Au.upf
CELL_PARAMETERS angstrom
-4.078 4.078 2.009
4.078 -4.078 2.009
4.078 4.078 -2.009
ATOMIC_POSITIONS crystal
Fe 0.000 0.000 0.000
Fe 0.347 0.347 0.694
Fe 0.347 0.653 0.000
Fe 0.653 0.347 0.000
Fe 0.653 0.653 0.306
Au 0.000 0.320 0.320
Au 0.000 0.680 0.680
Au 0.320 0.000 0.320
Au 0.680 0.000 0.680
```

- DFT total energy (eV per atom) = -6.0234
- D(E_F) (states/eV per atom) = 1.038

=====

# 8
Here is Fe3Au5 after structural relaxation from Alexandria. Energies are from PBE. Values from VASP.

Geometry as Quantum ESPRESSO input:
```
&SYSTEM
  ibrav = 0, nat = 16, ntyp = 2
/
ATOMIC_SPECIES
Fe 55.84 Fe.upf
Au 196.97 Au.upf
CELL_PARAMETERS angstrom
5.038 0.000 0.000
2.053 6.353 0.000
1.470 0.878 8.164
ATOMIC_POSITIONS crystal
Fe 0.000 0.000 0.000
Fe 0.017 0.976 0.502
Fe 0.395 0.681 0.409
Fe 0.517 0.971 0.503
Fe 0.610 0.307 0.922
Fe 0.863 0.642 0.606
Au 0.027 0.466 0.993
Au 0.131 0.213 0.730
Au 0.166 0.356 0.391
Au 0.288 0.713 0.747
Au 0.385 0.048 0.162
Au 0.434 0.642 0.084
Au 0.616 0.331 0.595
Au 0.664 0.922 0.826
Au 0.755 0.244 0.254
Au 0.892 0.765 0.272
```

- DFT total energy (eV per atom) = -5.0681
- D(E_F) (states/eV per atom) = 0.634

=====

# 9
Here is Fe5Au3 after structural relaxation from Alexandria. Energies are from PBE. Values from VASP.

Geometry as Quantum ESPRESSO input:
```
&SYSTEM
  ibrav = 0, nat = 16, ntyp = 2
/
ATOMIC_SPECIES
Fe 55.84 Fe.upf
Au 196.97 Au.upf
CELL_PARAMETERS angstrom
2.498 -6.915 0.000
2.498 6.915 0.000
-2.436 0.000 6.966
ATOMIC_POSITIONS crystal
Fe 0.077 0.748 0.822
Fe 0.247 0.425 0.672
Fe 0.248 0.248 0.999
Fe 0.252 0.923 0.178
Fe 0.425 0.247 0.672
Fe 0.575 0.753 0.328
Fe 0.748 0.077 0.822
Fe 0.752 0.752 0.001
Fe 0.753 0.575 0.328
Fe 0.923 0.252 0.178
Au 0.173 0.173 0.344
Au 0.250 0.750 0.500
Au 0.328 0.672 0.000
Au 0.672 0.328 0.000
Au 0.750 0.250 0.500
Au 0.827 0.827 0.656
```

- DFT total energy (eV per atom) = -6.2327
- D(E_F) (states/eV per atom) = 0.714
- distance to the lowest polymorph of the same formula (eV/atom) = 0.016

=====

# 10
Here is Fe5Au3 after structural relaxation from Alexandria. Energies are from PBE. Values from VASP.

Geometry as Quantum ESPRESSO input:
```
&SYSTEM
  ibrav = 0, nat = 16, ntyp = 2
/
ATOMIC_SPECIES
Fe 55.84 Fe.upf
Au 196.97 Au.upf
CELL_PARAMETERS angstrom
7.610 0.000 0.000
0.000 4.687 0.000
-3.378 0.000 6.828
ATOMIC_POSITIONS crystal
Fe 0.013 0.250 0.285
Fe 0.132 0.250 0.632
Fe 0.215 0.750 0.488
Fe 0.329 0.000 0.171
Fe 0.329 0.500 0.171
Fe 0.671 0.000 0.829
Fe 0.671 0.500 0.829
Fe 0.785 0.250 0.512
Fe 0.868 0.750 0.368
Fe 0.987 0.750 0.715
Au 0.012 0.250 0.903
Au 0.380 0.750 0.881
Au 0.403 0.250 0.512
Au 0.597 0.750 0.488
Au 0.620 0.250 0.119
Au 0.988 0.750 0.097
```

- DFT total energy (eV per atom) = -6.2485
- D(E_F) (states/eV per atom) = 0.832
- distance to the lowest polymorph of the same formula (eV/atom) = 0.000

=====

# 11
Here is Fe3Au5 after structural relaxation from Alexandria. Energies are from PBE. Values from VASP.

Geometry as Quantum ESPRESSO input:
```
&SYSTEM
  ibrav = 0, nat = 16, ntyp = 2
/
ATOMIC_SPECIES
Fe 55.84 Fe.upf
Au 196.97 Au.upf
CELL_PARAMETERS angstrom
7.697 0.000 0.000
-3.848 6.665 0.000
0.000 0.000 5.204
ATOMIC_POSITIONS crystal
Fe 0.000 0.421 0.250
Fe 0.000 0.579 0.750
Fe 0.421 0.000 0.250
Fe 0.421 0.421 0.750
Fe 0.579 0.000 0.750
Fe 0.579 0.579 0.250
Au 0.000 0.224 0.750
Au 0.000 0.776 0.250
Au 0.224 0.000 0.750
Au 0.224 0.224 0.250
Au 0.333 0.667 0.000
Au 0.333 0.667 0.500
Au 0.667 0.333 0.000
Au 0.667 0.333 0.500
Au 0.776 0.000 0.250
Au 0.776 0.776 0.750
```

- DFT total energy (eV per atom) = -4.9110
- D(E_F) (states/eV per atom) = 1.248

=====

# 12
Here is Ga2FeAu after structural relaxation from Alexandria. Energies are from PBE. Values from VASP.

Geometry as Quantum ESPRESSO input:
```
&SYSTEM
  ibrav = 0, nat = 4, ntyp = 3
/
ATOMIC_SPECIES
Ga 69.72 Ga.upf
Fe 55.84 Fe.upf
Au 196.97 Au.upf
CELL_PARAMETERS angstrom
2.872 0.000 0.000
0.000 2.872 0.000
0.000 0.000 7.136
ATOMIC_POSITIONS crystal
Ga 0.000 0.000 0.201
Ga 0.000 0.000 0.799
Fe 0.500 0.500 0.000
Au 0.500 0.500 0.500
```

- DFT total energy (eV per atom) = -4.5016
- D(E_F) (states/eV per atom) = 0.438
- distance to the lowest polymorph of the same formula (eV/atom) = 0.000